No. 1
A geometry-optimized PaCl4F2 structure. Source: the Alexandria database, functional GGA-PBE.

Calculated values
The calculation puts the uncorrected formation energy at -197.0 kJ/mol of atoms. Its density of states at the Fermi level is 1.7 states/eV/f.u.

a = 4.770 Å, b = 6.997 Å, c = 7.451 Å
α = 125.69°, β = 108.67°, γ = 90.00°
Site moments in Bohr magnetons follow the coordinates.
Atoms (fractional coordinates):
F  0.157  0.341  0.314  0.01
F  0.843  0.659  0.686  0.01
Pa  0.000  0.000  0.000  -0.02
Cl  0.162  0.913  0.325  0.30
Cl  0.838  0.087  0.675  0.30
Cl  0.494  0.773  0.988  0.12
Cl  0.506  0.227  0.012  0.12


No. 2
A geometry-optimized Er3ZnIr structure. Source: the Alexandria database, functional GGA-PBE.

Calculated values
Its formation energy is -0.434 eV per atom. Its density of states at the Fermi level is 3.8 states/eV/f.u.

a = 7.186 Å, b = 8.623 Å, c = 8.623 Å
α = 76.45°, β = 90.00°, γ = 90.00°
Atoms (fractional coordinates):
Er  0.492  0.301  0.964
Er  0.008  0.036  0.699
Er  0.508  0.699  0.036
Er  0.992  0.964  0.301
Er  0.992  0.699  0.036
Er  0.508  0.964  0.301
Er  0.008  0.301  0.964
Er  0.492  0.036  0.699
Er  0.500  0.372  0.372
Er  0.000  0.628  0.628
Er  0.500  0.628  0.628
Er  0.000  0.372  0.372
Zn  0.250  0.989  0.011
Zn  0.750  0.011  0.989
Zn  0.250  0.677  0.323
Zn  0.750  0.323  0.677
Ir  0.750  0.435  0.127
Ir  0.750  0.873  0.565
Ir  0.250  0.565  0.873
Ir  0.250  0.127  0.435


No. 3
A geometry-optimized CaPr4Y4 structure. Source: the Alexandria database, functional GGA-PBE.

Calculated values
Its formation energy is 0.042 eV per atom. Its density of states at the Fermi level is 14.3 states/eV/f.u.

a = 11.019 Å, b = 9.712 Å, c = 10.990 Å
α = 75.54°, β = 93.15°, γ = 145.14°
Atoms (fractional coordinates):
Ca  0.446  0.362  0.804
Ca  0.554  0.638  0.196
Pr  0.330  0.078  0.420
Pr  0.221  0.801  0.032
Pr  0.891  0.981  0.859
Pr  0.997  0.251  0.252
Pr  0.003  0.749  0.748
Pr  0.109  0.019  0.141
Pr  0.779  0.199  0.968
Pr  0.670  0.922  0.580
Y  0.110  0.526  0.637
Y  0.442  0.865  0.310
Y  0.215  0.300  0.529
Y  0.327  0.584  0.912
Y  0.785  0.700  0.471
Y  0.673  0.416  0.088
Y  0.890  0.474  0.363
Y  0.558  0.135  0.690


No. 4
A geometry-optimized LiSm2In3 structure. Source: the Alexandria database, functional GGA-PBE.

Calculated values
Its formation energy is -0.441 eV per atom. Its density of states at the Fermi level is 4.0 states/eV/f.u.

a = 6.140 Å, b = 6.140 Å, c = 9.297 Å
α = 103.63°, β = 103.63°, γ = 106.63°
Atoms (fractional coordinates):
Li  0.668  0.668  0.336
Li  0.332  0.332  0.664
Sm  0.250  0.750  0.500
Sm  0.749  0.749  0.000
Sm  0.750  0.250  0.500
Sm  0.251  0.251  0.000
In  0.343  0.830  0.173
In  0.170  0.657  0.827
In  0.657  0.170  0.827
In  0.830  0.343  0.173
In  0.172  0.172  0.343
In  0.828  0.828  0.657